No. 1
# PrDyNi2 | Alexandria | GGA-PBE | relaxed
data_PrDyNi2
_space_group_name_H-M_alt 'A m m 2'
_space_group_IT_number 38
_cell_length_a 4.283
_cell_length_b 3.807
_cell_length_c 10.402
_cell_angle_alpha 90.00
_cell_angle_beta 90.00
_cell_angle_gamma 90.00
loop_
_space_group_symop_operation_xyz
'x,y,z'
'-x,-y,z'
'-x,y,z'
'x,-y,z'
'x,y+1/2,z+1/2'
'-x,-y+1/2,z+1/2'
'-x,y+1/2,z+1/2'
'x,-y+1/2,z+1/2'
loop_
_atom_site_label
_atom_site_type_symbol
_atom_site_fract_x
_atom_site_fract_y
_atom_site_fract_z
Pr1 Pr 0.000 0.000 0.000
Dy1 Dy 0.500 0.000 0.723
Ni1 Ni 0.000 0.000 0.284
Ni2 Ni 0.500 0.000 0.426
# Energy relative to the elements ... -0.366 eV/atom
# Calculated density ... 8.24 g/cm³
# DFT total energy ... -0.206 Ha/atom
# Excess energy over the best structure of this formula in the dataset ... 0 meV/atom
# D(E_F) ... 5.1 states/eV per cell

No. 2
# PrDyNi2 | Alexandria | GGA-PBE | relaxed
data_PrDyNi2
_space_group_name_H-M_alt 'R -3 m'
_space_group_IT_number 166
_space_group_name_Hall '-R 3 2"'
_cell_length_a 4.0174
_cell_length_b 4.0174
_cell_length_c 19.3325
_cell_angle_alpha 90.00
_cell_angle_beta 90.00
_cell_angle_gamma 120.00
loop_
_atom_site_label
_atom_site_type_symbol
_atom_site_fract_x
_atom_site_fract_y
_atom_site_fract_z
Pr1 Pr 0.0000 0.0000 0.0000
Dy1 Dy 0.0000 0.0000 0.5000
Ni1 Ni 0.0000 0.0000 0.2447
# Energy relative to the elements ... -0.179 eV/atom
# Calculated density ... 7.76 g/cm³
# DFT total energy ... -0.199 Ha/atom
# Excess energy over the best structure of this formula in the dataset ... 186 meV/atom
# D(E_F) ... 6.8 states/eV per cell

No. 3
# PrDy4Ni4 | Alexandria | GGA-PBE | relaxed
data_PrDy4Ni4
_space_group_name_H-M_alt 'P 42/n'
_space_group_IT_number 86
_cell_length_a 8.665
_cell_length_b 8.665
_cell_length_c 5.591
_cell_angle_alpha 90.00
_cell_angle_beta 90.00
_cell_angle_gamma 90.00
loop_
_space_group_symop_operation_xyz
'x,y,z'
'-x,-y,-z'
'-y,x+1/2,z+1/2'
'y,-x+1/2,-z+1/2'
'-x+1/2,-y+1/2,z'
'x+1/2,y+1/2,-z'
'y+1/2,-x,z+1/2'
'-y+1/2,x,-z+1/2'
loop_
_atom_site_label
_atom_site_type_symbol
_atom_site_fract_x
_atom_site_fract_y
_atom_site_fract_z
Pr1 Pr 0.250 0.250 0.250
Dy1 Dy 0.073 0.659 0.154
Ni1 Ni 0.033 0.612 0.642
# Energy relative to the elements ... -0.247 eV/atom
# Calculated density ... 8.12 g/cm³
# DFT total energy ... -0.198 Ha/atom
# D(E_F) ... 16.2 states/eV per cell

No. 4
# Pr3DyNi | Alexandria | GGA-PBE | relaxed
data_Pr3DyNi
_space_group_name_H-M_alt 'P m -3 m'
_space_group_IT_number 221
_space_group_name_Hall '-P 4 2 3'
_cell_length_a 5.508
_cell_length_b 5.508
_cell_length_c 5.508
_cell_angle_alpha 90.00
_cell_angle_beta 90.00
_cell_angle_gamma 90.00
loop_
_atom_site_label
_atom_site_type_symbol
_atom_site_fract_x
_atom_site_fract_y
_atom_site_fract_z
Pr1 Pr 0.000 0.000 0.500
Dy1 Dy 0.500 0.500 0.500
Ni1 Ni 0.000 0.000 0.000
# Energy relative to the elements ... 0.076 eV/atom
# Calculated density ... 6.40 g/cm³
# DFT total energy ... -0.179 Ha/atom
# D(E_F) ... 12.3 states/eV per cell

No. 5
# Pr2Dy3Ni2 | Alexandria | GGA-PBE | relaxed
data_Pr2Dy3Ni2
_space_group_name_H-M_alt 'C 1 2/m 1'
_space_group_IT_number 12
_cell_length_a 12.418
_cell_length_b 3.636
_cell_length_c 9.119
_cell_angle_alpha 90.00
_cell_angle_beta 117.21
_cell_angle_gamma 90.00
loop_
_space_group_symop_operation_xyz
'x,y,z'
'-x,-y,-z'
'-x,y,-z'
'x,-y,z'
'x+1/2,y+1/2,z'
'-x+1/2,-y+1/2,-z'
'-x+1/2,y+1/2,-z'
'x+1/2,-y+1/2,z'
loop_
_atom_site_label
_atom_site_type_symbol
_atom_site_fract_x
_atom_site_fract_y
_atom_site_fract_z
Pr1 Pr 0.164 0.000 0.309
Dy1 Dy 0.000 0.500 0.500
Dy2 Dy 0.117 0.500 0.933
Ni1 Ni 0.167 0.000 0.741
# Energy relative to the elements ... -0.228 eV/atom
# Calculated density ... 8.04 g/cm³
# DFT total energy ... -0.192 Ha/atom
# D(E_F) ... 16.6 states/eV per cell

No. 6
# PrDy6Ni2 | Alexandria | GGA-PBE | relaxed
data_PrDy6Ni2
_space_group_name_H-M_alt 'I m m m'
_space_group_IT_number 71
_space_group_name_Hall '-I 2 2'
_cell_length_a 9.163
_cell_length_b 10.236
_cell_length_c 10.286
_cell_angle_alpha 90.00
_cell_angle_beta 90.00
_cell_angle_gamma 90.00
loop_
_atom_site_label
_atom_site_type_symbol
_atom_site_fract_x
_atom_site_fract_y
_atom_site_fract_z
Pr1 Pr 0.000 0.000 0.000
Pr2 Pr 0.000 0.500 0.000
Dy1 Dy 0.000 0.222 0.221
Dy2 Dy 0.195 0.189 0.500
Dy3 Dy 0.195 0.500 0.308
Ni1 Ni 0.000 0.000 0.372
Ni2 Ni 0.000 0.381 0.500
# Energy relative to the elements ... -0.124 eV/atom
# Calculated density ... 8.49 g/cm³
# DFT total energy ... -0.184 Ha/atom
# D(E_F) ... 47.0 states/eV per cell

No. 7
# PrDyNi | Alexandria | GGA-PBE | relaxed
data_PrDyNi
_space_group_name_H-M_alt 'F -4 3 m'
_space_group_IT_number 216
_space_group_name_Hall 'F -4 2 3'
_cell_length_a 6.850
_cell_length_b 6.850
_cell_length_c 6.850
_cell_angle_alpha 90.00
_cell_angle_beta 90.00
_cell_angle_gamma 90.00
loop_
_atom_site_label
_atom_site_type_symbol
_atom_site_fract_x
_atom_site_fract_y
_atom_site_fract_z
Pr1 Pr 0.000 0.000 0.000
Dy1 Dy 0.000 0.000 0.500
Ni1 Ni 0.250 0.250 0.250
# Energy relative to the elements ... -0.084 eV/atom
# Calculated density ... 7.48 g/cm³
# DFT total energy ... -0.189 Ha/atom
# Excess energy over the best structure of this formula in the dataset ... 152 meV/atom
# D(E_F) ... 12.7 states/eV per cell

No. 8
# PrDyNi3 | Alexandria | GGA-PBE | relaxed
data_PrDyNi3
_space_group_name_H-M_alt 'C m c m'
_space_group_IT_number 63
_space_group_name_Hall '-C 2c 2'
_cell_length_a 3.965
_cell_length_b 24.256
_cell_length_c 4.021
_cell_angle_alpha 90.00
_cell_angle_beta 90.00
_cell_angle_gamma 90.00
loop_
_atom_site_label
_atom_site_type_symbol
_atom_site_fract_x
_atom_site_fract_y
_atom_site_fract_z
Pr1 Pr 0.000 0.072 0.250
Dy1 Dy 0.000 0.205 0.750
Ni1 Ni 0.000 0.323 0.750
Ni2 Ni 0.000 0.377 0.250
Ni3 Ni 0.000 0.475 0.250
# Energy relative to the elements ... -0.363 eV/atom
# Calculated density ... 8.24 g/cm³
# DFT total energy ... -0.210 Ha/atom
# D(E_F) ... 19.7 states/eV per cell

No. 9
# PrDyNi | Alexandria | GGA-PBE | relaxed
data_PrDyNi
_space_group_name_H-M_alt 'I 4 m m'
_space_group_IT_number 107
_space_group_name_Hall 'I 4 -2'
_cell_length_a 3.476
_cell_length_b 3.476
_cell_length_c 12.669
_cell_angle_alpha 90.00
_cell_angle_beta 90.00
_cell_angle_gamma 90.00
loop_
_atom_site_label
_atom_site_type_symbol
_atom_site_fract_x
_atom_site_fract_y
_atom_site_fract_z
Pr1 Pr 0.000 0.000 0.000
Dy1 Dy 0.000 0.000 0.262
Ni1 Ni 0.000 0.000 0.647
# Energy relative to the elements ... -0.173 eV/atom
# Calculated density ... 7.86 g/cm³
# DFT total energy ... -0.192 Ha/atom
# Excess energy over the best structure of this formula in the dataset ... 63 meV/atom
# D(E_F) ... 7.4 states/eV per cell

No. 10
# PrDyNi2 | Alexandria | GGA-PBE | relaxed
data_PrDyNi2
_space_group_name_H-M_alt 'P 4/m m m'
_space_group_IT_number 123
_space_group_name_Hall '-P 4 2'
_cell_length_a 3.444
_cell_length_b 3.444
_cell_length_c 6.900
_cell_angle_alpha 90.00
_cell_angle_beta 90.00
_cell_angle_gamma 90.00
loop_
_atom_site_label
_atom_site_type_symbol
_atom_site_fract_x
_atom_site_fract_y
_atom_site_fract_z
Pr1 Pr 0.000 0.000 0.000
Dy1 Dy 0.000 0.000 0.500
Ni1 Ni 0.500 0.500 0.272
# Energy relative to the elements ... -0.283 eV/atom
# Calculated density ... 8.54 g/cm³
# DFT total energy ... -0.203 Ha/atom
# Excess energy over the best structure of this formula in the dataset ... 82 meV/atom
# D(E_F) ... 4.1 states/eV per cell

No. 11
# PrDyNiRu | Alexandria | GGA-PBE | relaxed
data_PrDyNiRu
_space_group_name_H-M_alt 'F -4 3 m'
_space_group_IT_number 216
_space_group_name_Hall 'F -4 2 3'
_cell_length_a 6.931
_cell_length_b 6.931
_cell_length_c 6.931
_cell_angle_alpha 90.00
_cell_angle_beta 90.00
_cell_angle_gamma 90.00
loop_
_atom_site_label
_atom_site_type_symbol
_atom_site_fract_x
_atom_site_fract_y
_atom_site_fract_z
Pr1 Pr 0.000 0.000 0.000
Dy1 Dy 0.000 0.000 0.500
Ni1 Ni 0.250 0.250 0.750
Ru1 Ru 0.250 0.250 0.250
# Energy relative to the elements ... -0.242 eV/atom
# Calculated density ... 9.24 g/cm³
# DFT total energy ... -0.233 Ha/atom
# Excess energy over the best structure of this formula in the dataset ... 39 meV/atom
# D(E_F) ... 13.3 states/eV per cell

No. 12
# PrDyNiRu | Alexandria | GGA-PBE | relaxed
data_PrDyNiRu
_space_group_name_H-M_alt 'A m m 2'
_space_group_IT_number 38
_cell_length_a 4.044
_cell_length_b 4.035
_cell_length_c 10.789
_cell_angle_alpha 90.00
_cell_angle_beta 90.00
_cell_angle_gamma 90.00
loop_
_space_group_symop_operation_xyz
'x,y,z'
'-x,-y,z'
'-x,y,z'
'x,-y,z'
'x,y+1/2,z+1/2'
'-x,-y+1/2,z+1/2'
'-x,y+1/2,z+1/2'
'x,-y+1/2,z+1/2'
loop_
_atom_site_label
_atom_site_type_symbol
_atom_site_fract_x
_atom_site_fract_y
_atom_site_fract_z
Pr1 Pr 0.000 0.000 0.000
Dy1 Dy 0.500 0.000 0.286
Ni1 Ni 0.500 0.000 0.582
Ru1 Ru 0.000 0.000 0.720
# Energy relative to the elements ... -0.281 eV/atom
# Calculated density ... 8.74 g/cm³
# DFT total energy ... -0.235 Ha/atom
# Excess energy over the best structure of this formula in the dataset ... 0 meV/atom
# D(E_F) ... 7.1 states/eV per cell